Entry from Alexandria: a geometry-optimized MnNiO3 structure (PBE+U).

Final energy (eV per atom): -6.0530

a = 5.0097 Å, b = 6.5131 Å, c = 6.5131 Å
α = 79.68°, β = 85.46°, γ = 85.46°
With the nearest neighbours (Å) after each atom.
Fractional positions:
O  0.0809  0.0238  0.1912  3 Ni 1.92-2.11, 1 Mn 1.96
Ni  0.2500  0.0862  0.9138  6 O 1.92-2.07
O  0.0577  0.7127  0.5672  2 Mn 1.89-2.06, 1 Ni 2.01
Mn  0.2792  0.1476  0.3803  5 O 1.89-2.09
Mn  0.7792  0.3803  0.1476  5 O 1.89-2.09
Ni  0.2500  0.7168  0.2832  6 O 2.01-2.11
O  0.4423  0.4328  0.2873  2 Mn 1.89-2.06, 1 Ni 2.01
O  0.9191  0.9762  0.8088  3 Ni 1.92-2.11, 1 Mn 1.96
Ni  0.7500  0.9138  0.0862  6 O 1.92-2.07
O  0.5809  0.1912  0.0238  3 Ni 1.92-2.11, 1 Mn 1.96
O  0.4191  0.8088  0.9762  3 Ni 1.92-2.11, 1 Mn 1.96
O  0.0472  0.3565  0.8887  2 Ni 1.95-2.07, 2 Mn 1.95-2.09
O  0.5577  0.5672  0.7127  2 Mn 1.89-2.06, 1 Ni 2.01
O  0.4528  0.1113  0.6435  2 Ni 1.95-2.07, 2 Mn 1.95-2.09
O  0.5472  0.8887  0.3565  2 Ni 1.95-2.07, 2 Mn 1.95-2.09
O  0.9423  0.2873  0.4328  2 Mn 1.89-2.06, 1 Ni 2.01
Mn  0.7208  0.8524  0.6197  5 O 1.89-2.09
Mn  0.2208  0.6197  0.8524  5 O 1.89-2.09
Ni  0.7500  0.2832  0.7168  6 O 2.01-2.11
O  0.9528  0.6435  0.1113  2 Ni 1.95-2.07, 2 Mn 1.95-2.09